# 1
Here is a crystal of Be4Cu5 relaxed with PBEsol from the Alexandria database. Energies are from SCAN.

The structure in POSCAR format:
```
Be4Cu5
1.0
4.670 0.000 0.000
0.000 6.592 0.000
0.000 -3.296 5.709
Cu Be
10 8
Direct
0.000 0.667 0.333
0.250 0.000 0.295
0.250 0.705 0.705
0.750 0.705 0.000
0.250 0.295 0.000
0.750 0.295 0.295
0.000 0.333 0.667
0.750 0.000 0.705
0.500 0.667 0.333
0.500 0.333 0.667
0.000 0.000 0.000
0.250 0.632 0.000
0.250 0.368 0.368
0.500 0.000 0.000
0.750 0.632 0.632
0.750 0.368 0.000
0.250 0.000 0.632
0.750 0.000 0.368
```

Values from the calculation:
energy of formation: -0.1355 eV/atom
DOS at the Fermi energy: 1.599 states/eV/f.u.
symmetry: No. 193
VASP energy: -189.26 eV for the cell shown

# 2
Here is a crystal of Be3Cu5 relaxed with PBEsol from the Alexandria database. Energies are from SCAN.

The structure in POSCAR format:
```
Be3Cu5
1.0
3.679 0.000 0.000
0.000 4.719 -0.124
0.000 -0.891 4.636
Cu Be
5 3
Direct
0.000 0.500 0.000
0.500 0.280 0.280
0.000 0.000 0.000
0.000 0.000 0.500
0.500 0.720 0.720
0.500 0.234 0.766
0.500 0.766 0.234
0.000 0.500 0.500
```

Values from the calculation:
energy of formation: -0.1275 eV/atom
energy above the most stable polymorph in this dataset: 33 meV/atom
DOS at the Fermi energy: 2.490 states/eV/f.u.
symmetry: No. 65
VASP energy: -90.08 eV for the cell shown

# 3
Here is a crystal of Be5Cu4 relaxed with PBEsol from the Alexandria database. Energies are from SCAN.

The structure in POSCAR format:
```
Be5Cu4
1.0
-2.677 -1.177 -1.699
1.155 -4.791 -1.866
-3.096 -2.645 3.345
Cu Be
4 5
Direct
0.000 0.316 0.684
0.684 0.316 0.316
0.000 0.684 0.316
0.316 0.684 0.684
0.000 0.000 0.000
0.337 0.327 0.000
0.337 0.000 0.327
0.663 0.673 0.000
0.663 0.000 0.673
```

Values from the calculation:
energy of formation: -0.1088 eV/atom
energy above the most stable polymorph in this dataset: 28 meV/atom
DOS at the Fermi energy: 2.855 states/eV/f.u.
symmetry: No. 139
VASP energy: -83.54 eV for the cell shown

# 4
Here is a crystal of Be3Cu relaxed with PBEsol from the Alexandria database. Energies are from SCAN.

The structure in POSCAR format:
```
Be3Cu
1.0
3.721 0.000 0.000
0.000 4.027 0.000
0.000 0.000 4.650
Be Cu
6 2
Direct
0.500 0.165 0.254
0.500 0.165 0.746
0.000 0.835 0.246
0.500 0.675 0.000
0.000 0.325 0.500
0.000 0.835 0.754
0.000 0.337 0.000
0.500 0.663 0.500
```

Values from the calculation:
energy of formation: -0.1201 eV/atom
DOS at the Fermi energy: 0.775 states/eV/f.u.
symmetry: No. 59
VASP energy: -57.48 eV for the cell shown

# 5
Here is a crystal of Be3Cu relaxed with PBEsol from the Alexandria database. Energies are from SCAN.

The structure in POSCAR format:
```
Be3Cu
1.0
-2.692 2.910 1.302
-3.641 -1.134 1.693
0.783 0.509 7.168
Be Cu
9 3
Direct
0.188 0.188 0.437
0.438 0.938 0.686
0.437 0.437 0.188
0.687 0.687 0.938
0.875 0.875 0.376
0.937 0.437 0.188
0.938 0.438 0.686
0.437 0.937 0.188
0.938 0.938 0.686
0.502 0.502 0.493
0.997 0.997 0.009
0.375 0.375 0.874
```

Values from the calculation:
energy of formation: -0.1636 eV/atom
DOS at the Fermi energy: 0.448 states/eV/f.u.
symmetry: No. 160
VASP energy: -86.74 eV for the cell shown

# 6
Here is a crystal of Be2Cu relaxed with PBEsol from the Alexandria database. Energies are from SCAN.

The structure in POSCAR format:
```
Be2Cu
1.0
3.611 0.000 0.000
1.806 3.127 0.000
1.806 1.042 2.948
Be Cu
2 1
Direct
0.750 0.750 0.750
0.250 0.250 0.250
0.000 0.000 0.000
```

Values from the calculation:
energy of formation: 0.3522 eV/atom
energy above the most stable polymorph in this dataset: 555 meV/atom
DOS at the Fermi energy: 1.221 states/eV/f.u.
symmetry: No. 225
VASP energy: -22.85 eV for the cell shown

# 7
Here is a crystal of Be3Cu5 relaxed with PBEsol from the Alexandria database. Energies are from SCAN.

The structure in POSCAR format:
```
Be3Cu5
1.0
-2.005 2.777 -2.964
-5.696 -1.350 2.588
3.457 4.895 2.247
Cu Be
10 6
Direct
0.500 0.667 0.333
0.750 0.238 0.000
0.000 0.667 0.333
0.250 0.000 0.762
0.250 0.238 0.238
0.000 0.333 0.667
0.750 0.000 0.238
0.750 0.762 0.762
0.250 0.762 0.000
0.500 0.333 0.667
0.750 0.596 0.000
0.250 0.000 0.404
0.750 0.000 0.596
0.250 0.404 0.000
0.250 0.596 0.596
0.750 0.404 0.404
```

Values from the calculation:
energy of formation: -0.1037 eV/atom
energy above the most stable polymorph in this dataset: 56 meV/atom
DOS at the Fermi energy: 2.031 states/eV/f.u.
symmetry: No. 193
VASP energy: -179.77 eV for the cell shown

# 8
Here is a crystal of BeCu relaxed with PBEsol from the Alexandria database. Energies are from SCAN.

The structure in POSCAR format:
```
BeCu
1.0
4.595 0.000 0.000
0.000 6.555 0.000
0.000 0.000 7.605
Be Cu
12 12
Direct
0.750 0.389 0.865
0.750 0.889 0.135
0.250 0.611 0.135
0.750 0.952 0.580
0.500 0.250 0.084
0.250 0.548 0.580
0.750 0.452 0.420
0.250 0.048 0.420
0.500 0.750 0.916
0.250 0.111 0.865
0.000 0.250 0.084
0.000 0.750 0.916
0.500 0.750 0.376
0.000 0.250 0.624
0.250 0.367 0.334
0.250 0.459 0.869
0.750 0.541 0.131
0.750 0.133 0.334
0.000 0.750 0.376
0.250 0.867 0.666
0.750 0.633 0.666
0.250 0.959 0.131
0.500 0.250 0.624
0.750 0.041 0.869
```

Values from the calculation:
energy of formation: -0.1301 eV/atom
DOS at the Fermi energy: 0.455 states/eV/f.u.
symmetry: No. 57
VASP energy: -237.76 eV for the cell shown

# 9
Here is a crystal of Be3Cu relaxed with PBEsol from the Alexandria database. Energies are from SCAN.

The structure in POSCAR format:
```
Be3Cu
1.0
2.577 0.000 0.000
0.000 2.577 0.000
0.000 0.000 5.174
Be Cu
3 1
Direct
0.000 0.000 0.734
0.500 0.500 0.500
0.000 0.000 0.266
0.500 0.500 0.000
```

Values from the calculation:
energy of formation: -0.0869 eV/atom
DOS at the Fermi energy: 0.538 states/eV/f.u.
symmetry: No. 123
VASP energy: -28.61 eV for the cell shown

# 10
Here is a crystal of BeCu relaxed with PBEsol from the Alexandria database. Energies are from SCAN.

The structure in POSCAR format:
```
BeCu
1.0
3.244 0.000 0.000
0.000 3.244 0.000
-1.622 -1.622 3.648
Be Cu
2 2
Direct
0.250 0.750 0.500
0.000 0.000 0.000
0.500 0.500 0.000
0.750 0.250 0.500
```

Values from the calculation:
energy of formation: -0.1536 eV/atom
DOS at the Fermi energy: 0.412 states/eV/f.u.
symmetry: No. 141
VASP energy: -39.72 eV for the cell shown

# 11
Here is a crystal of Be4Cu3 relaxed with PBEsol from the Alexandria database. Energies are from SCAN.

The structure in POSCAR format:
```
Be4Cu3
1.0
2.647 0.000 0.000
0.000 2.647 0.000
-1.323 -1.323 9.249
Be Cu
4 3
Direct
0.135 0.135 0.269
0.865 0.865 0.731
0.429 0.429 0.858
0.571 0.571 0.142
0.000 0.000 0.000
0.704 0.704 0.408
0.296 0.296 0.592
```

Values from the calculation:
energy of formation: -0.1191 eV/atom
energy above the most stable polymorph in this dataset: 0 meV/atom
DOS at the Fermi energy: 1.712 states/eV/f.u.
symmetry: No. 139
VASP energy: -63.85 eV for the cell shown

# 12
Here is a crystal of Be12Cu17 relaxed with PBEsol from the Alexandria database. Energies are from SCAN.

The structure in POSCAR format:
```
Be12Cu17
1.0
7.189 0.000 0.000
-2.396 6.778 0.000
-2.396 -3.389 5.870
Be Cu
12 17
Direct
0.188 0.816 0.188
0.372 0.184 0.372
0.000 0.812 0.628
0.000 0.628 0.812
0.628 0.000 0.812
0.812 0.628 0.000
0.812 0.000 0.628
0.628 0.812 0.000
0.816 0.188 0.188
0.184 0.372 0.372
0.188 0.188 0.816
0.372 0.372 0.184
0.400 0.400 0.715
0.315 0.000 0.600
0.600 0.315 0.000
0.685 0.685 0.285
0.315 0.600 0.000
0.344 0.000 0.000
0.285 0.685 0.685
0.600 0.000 0.315
0.000 0.344 0.000
0.715 0.400 0.400
0.000 0.315 0.600
0.000 0.000 0.000
0.000 0.600 0.315
0.400 0.715 0.400
0.685 0.285 0.685
0.656 0.656 0.656
0.000 0.000 0.344
```

Values from the calculation:
energy of formation: -0.0988 eV/atom
DOS at the Fermi energy: 4.995 states/eV/f.u.
symmetry: No. 217
VASP energy: -313.50 eV for the cell shown